Entry 1:
Below is a relaxed structure of Al2Ga2Cu7Ge, with properties calculated at the PBE level.

Geometry as POSCAR:
```
Al2Ga2Cu7Ge
1.0
-0.976 0.984 3.584
-0.470 -3.770 0.576
9.536 -3.686 7.430
Cu Ga Al Ge
7 2 2 1
direct
0.157 0.658 0.842 Cu
0.246 0.246 0.500 Cu
0.843 0.342 0.158 Cu
0.500 0.500 0.000 Cu
0.658 0.157 0.842 Cu
0.342 0.843 0.158 Cu
0.754 0.754 0.500 Cu
0.314 0.314 0.686 Ga
0.686 0.686 0.314 Ga
0.190 0.190 0.310 Al
0.810 0.810 0.690 Al
0.000 0.000 0.000 Ge
```

For the formation energy from the elements, the calculation gives -21.5 meV per atom. The calculation puts the total magnetization at 0.00 μB/f.u. Its mass density is 6.98 g cm⁻³. The value obtained for the total energy is -3.9240 eV per atom.


Entry 2:
Below is a relaxed structure of HfAl2GaCu2, with properties calculated at the PBE level.

Geometry as POSCAR:
```
HfAl2GaCu2
1.0
4.409 0.000 0.000
0.000 4.409 0.000
0.000 0.000 5.363
Ga Cu Al Hf
1 2 2 1
direct
0.000 0.000 0.000 Ga
0.500 0.000 0.000 Cu
0.000 0.500 0.000 Cu
0.500 0.500 0.733 Al
0.500 0.500 0.267 Al
0.000 0.000 0.500 Hf
```

For the formation energy from the elements, the calculation gives 207.8 meV per atom. The calculation puts the total magnetization at 0.00 μB/f.u. Its mass density is 6.84 g cm⁻³. The value obtained for the total energy is -4.5685 eV per atom.


Entry 3:
Below is a relaxed structure of HoAlGaCu2, with properties calculated at the PBE level.

Geometry as POSCAR:
```
HoAlGaCu2
1.0
4.032 0.000 0.000
0.000 3.812 0.000
-2.016 -1.906 5.576
Ga Al Cu Ho
1 1 2 1
direct
0.835 0.835 0.670 Ga
0.189 0.689 0.378 Al
0.051 0.051 0.101 Cu
0.689 0.189 0.377 Cu
0.449 0.449 0.898 Ho
```

For the formation energy from the elements, the calculation gives -392.8 meV per atom. The calculation puts the total magnetization at 0.00 μB/f.u. Its mass density is 7.53 g cm⁻³. The value obtained for the total energy is -4.3007 eV per atom.


Entry 4:
Below is a relaxed structure of HoAlGaCu, with properties calculated at the PBE level.

Geometry as POSCAR:
```
HoAlGaCu
1.0
4.675 0.000 0.000
2.337 4.048 0.000
2.337 1.349 3.817
Cu Ho Ga Al
1 1 1 1
direct
0.250 0.250 0.250 Cu
0.500 0.500 0.500 Ho
0.750 0.750 0.750 Ga
0.000 0.000 0.000 Al
```

For the formation energy from the elements, the calculation gives -333.1 meV per atom. The calculation puts the total magnetization at 0.00 μB/f.u. Its mass density is 7.48 g cm⁻³. The value obtained for the total energy is -4.1939 eV per atom.


Entry 5:
Below is a relaxed structure of HoAl2GaCu4, with properties calculated at the PBE level.

Geometry as POSCAR:
```
HoAl2GaCu4
1.0
4.169 0.000 0.000
2.084 3.610 0.000
2.084 1.203 8.353
Al Ho Cu Ga
2 1 4 1
direct
0.753 0.753 0.741 Al
0.247 0.247 0.259 Al
0.000 0.000 0.000 Ho
0.402 0.402 0.795 Cu
0.872 0.872 0.383 Cu
0.598 0.598 0.205 Cu
0.128 0.128 0.617 Cu
0.500 0.500 0.500 Ga
```

For the formation energy from the elements, the calculation gives -251.1 meV per atom. The calculation puts the total magnetization at 0.00 μB/f.u. Its mass density is 7.17 g cm⁻³. The value obtained for the total energy is -4.1854 eV per atom.


Entry 6:
Below is a relaxed structure of HoAlGa2Cu4, with properties calculated at the PBE level.

Geometry as POSCAR:
```
HoAlGa2Cu4
1.0
4.169 0.000 0.000
2.085 3.611 0.000
2.085 1.204 8.290
Ga Cu Ho Al
2 4 1 1
direct
0.751 0.751 0.748 Ga
0.249 0.249 0.252 Ga
0.869 0.869 0.394 Cu
0.598 0.598 0.206 Cu
0.131 0.131 0.606 Cu
0.402 0.402 0.794 Cu
0.000 0.000 0.000 Ho
0.500 0.500 0.500 Al
```

For the formation energy from the elements, the calculation gives -259.6 meV per atom. The calculation puts the total magnetization at 0.00 μB/f.u. Its mass density is 7.79 g cm⁻³. The value obtained for the total energy is -4.1044 eV per atom.


Entry 7:
Below is a relaxed structure of HoAlGa2Cu, with properties calculated at the PBE level.

Geometry as POSCAR:
```
HoAlGa2Cu
1.0
-0.882 3.833 0.933
0.478 -0.845 3.924
5.483 -0.191 -2.790
Ga Al Ho Cu
2 1 1 1
direct
0.388 0.388 0.777 Ga
0.612 0.612 0.223 Ga
0.750 0.250 0.500 Al
0.000 0.000 0.000 Ho
0.250 0.750 0.500 Cu
```

For the formation energy from the elements, the calculation gives -469.0 meV per atom. The calculation puts the total magnetization at 0.00 μB/f.u. Its mass density is 7.36 g cm⁻³. The value obtained for the total energy is -4.1630 eV per atom.


Entry 8:
Below is a relaxed structure of Ho2Al3GaCu4, with properties calculated at the PBE level.

Geometry as POSCAR:
```
Ho2Al3GaCu4
1.0
-2.203 -1.486 3.141
2.710 -3.062 0.452
5.372 5.709 6.469
Al Cu Ho Ga
3 4 2 1
direct
0.500 0.000 0.871 Al
0.000 0.000 0.500 Al
0.000 0.500 0.129 Al
0.000 0.000 0.000 Cu
0.000 0.500 0.364 Cu
0.500 0.500 0.000 Cu
0.500 0.000 0.636 Cu
0.500 0.000 0.247 Ho
0.000 0.500 0.753 Ho
0.500 0.500 0.500 Ga
```

For the formation energy from the elements, the calculation gives -402.3 meV per atom. The calculation puts the total magnetization at 0.00 μB/f.u. Its mass density is 7.09 g cm⁻³. The value obtained for the total energy is -4.3818 eV per atom.


Entry 9:
Below is a relaxed structure of Ho2AlGa4Cu3, with properties calculated at the PBE level.

Geometry as POSCAR:
```
Ho2AlGa4Cu3
1.0
4.070 0.000 0.000
0.000 4.070 0.000
0.000 0.000 10.541
Cu Ga Ho Al
3 4 2 1
direct
0.000 0.000 0.500 Cu
0.000 0.500 0.132 Cu
0.500 0.000 0.868 Cu
0.500 0.500 0.000 Ga
0.000 0.500 0.355 Ga
0.500 0.000 0.645 Ga
0.000 0.000 0.000 Ga
0.500 0.000 0.244 Ho
0.000 0.500 0.756 Ho
0.500 0.500 0.500 Al
```

For the formation energy from the elements, the calculation gives -458.4 meV per atom. The calculation puts the total magnetization at 0.00 μB/f.u. Its mass density is 7.86 g cm⁻³. The value obtained for the total energy is -4.1879 eV per atom.


Entry 10:
Below is a relaxed structure of LaAlGaCu3, with properties calculated at the PBE level.

Geometry as POSCAR:
```
LaAlGaCu3
1.0
-5.041 -2.768 -1.555
0.982 -4.280 4.433
-3.540 5.495 1.698
Cu Al La Ga
6 2 2 2
direct
0.250 0.163 0.327 Cu
0.500 0.299 0.000 Cu
0.750 0.837 0.673 Cu
0.000 0.701 0.000 Cu
0.000 0.299 0.000 Cu
0.500 0.701 0.000 Cu
0.250 0.967 0.933 Al
0.750 0.033 0.067 Al
0.750 0.287 0.574 La
0.250 0.713 0.426 La
0.750 0.632 0.263 Ga
0.250 0.368 0.737 Ga
```

For the formation energy from the elements, the calculation gives -148.6 meV per atom. The calculation puts the total magnetization at 0.00 μB/f.u. Its mass density is 6.36 g cm⁻³. The value obtained for the total energy is -4.1461 eV per atom.


Entry 11:
Below is a relaxed structure of LaAlGaCu2, with properties calculated at the PBE level.

Geometry as POSCAR:
```
LaAlGaCu2
1.0
4.156 0.000 0.000
0.000 4.156 0.000
-2.078 -2.078 5.436
Cu Al La Ga
2 1 1 1
direct
0.384 0.384 0.767 Cu
0.616 0.616 0.233 Cu
0.750 0.250 0.500 Al
0.000 0.000 0.000 La
0.250 0.750 0.500 Ga
```

For the formation energy from the elements, the calculation gives -407.7 meV per atom. The calculation puts the total magnetization at 0.00 μB/f.u. Its mass density is 6.41 g cm⁻³. The value obtained for the total energy is -4.3856 eV per atom.


Entry 12:
Below is a relaxed structure of La3AlGa2Cu6, with properties calculated at the PBE level.

Geometry as POSCAR:
```
La3AlGa2Cu6
1.0
5.724 0.000 0.000
-2.862 4.957 0.000
0.000 0.000 8.560
Cu Ga La Al
6 2 3 1
direct
0.183 0.365 0.285 Cu
0.817 0.635 0.715 Cu
0.817 0.183 0.715 Cu
0.365 0.183 0.715 Cu
0.183 0.817 0.285 Cu
0.635 0.817 0.285 Cu
0.333 0.667 0.040 Ga
0.667 0.333 0.960 Ga
0.000 0.000 0.000 La
0.667 0.333 0.368 La
0.333 0.667 0.632 La
0.000 0.000 0.500 Al
```

For the formation energy from the elements, the calculation gives -183.8 meV per atom. The calculation puts the total magnetization at 0.00 μB/f.u. Its mass density is 6.59 g cm⁻³. The value obtained for the total energy is -4.2801 eV per atom.